This record from Alexandria describes an optimized crystal structure of Ba2ZnPb. The functional is PBE.

```
Ba2ZnPb
1.0
5.096 -2.179 0.000
5.096 2.179 0.000
-1.957 0.000 7.751
Ba Zn Pb
2 1 1
Cartesian
2.048 0.000 1.938 Ba
6.186 0.000 5.813 Ba
5.096 0.000 0.000 Zn
-0.979 0.000 3.876 Pb
```

- Size of the total moment: 0.063 μB per atom
- E_tot: -2.38 eV per atom